Density functional theory data (GGA-PBE) for a geometry-optimized GaSe2BrCl structure.

Calculated values
Uncorrected formation energy, meV/atom: 458
E, eV/atom: -2.245
SG: P4/mmm, No. 123
Crystal system: tetragonal
E above lowest polymorph, meV/atom: 178.1

```
data_GaSe2BrCl
_space_group_name_H-M_alt 'P 1'
_space_group_IT_number 1
_cell_length_a 4.843
_cell_length_b 4.843
_cell_length_c 7.420
_cell_angle_alpha 90.00
_cell_angle_beta 90.00
_cell_angle_gamma 90.00
loop_
_space_group_symop_operation_xyz
'x,y,z'
loop_
_atom_site_label
_atom_site_type_symbol
_atom_site_fract_x
_atom_site_fract_y
_atom_site_fract_z
_atom_site_occupancy
Se1 Se 0.500 0.000 0.000 1
Br1 Br 0.000 0.000 0.500 1
Ga1 Ga 0.500 0.500 0.500 1
Se2 Se 0.000 0.500 0.000 1
Cl1 Cl 0.000 0.000 0.000 1
```

Density functional theory data (GGA-PBE) for a geometry-optimized GaSe2BrCl structure.

Calculated values
Uncorrected formation energy, meV/atom: 280
E, eV/atom: -2.424
SG: P4/mmm, No. 123
Crystal system: tetragonal
E above lowest polymorph, meV/atom: 0.0

```
data_GaSe2BrCl
_space_group_name_H-M_alt 'P 1'
_space_group_IT_number 1
_cell_length_a 5.179
_cell_length_b 5.179
_cell_length_c 5.083
_cell_angle_alpha 90.00
_cell_angle_beta 90.00
_cell_angle_gamma 90.00
loop_
_space_group_symop_operation_xyz
'x,y,z'
loop_
_atom_site_label
_atom_site_type_symbol
_atom_site_fract_x
_atom_site_fract_y
_atom_site_fract_z
_atom_site_occupancy
Cl1 Cl 0.500 0.500 0.500 1
Se1 Se 0.000 0.500 0.000 1
Ga1 Ga 0.000 0.000 0.000 1
Se2 Se 0.500 0.000 0.000 1
Br1 Br 0.000 0.000 0.500 1
```

Density functional theory data (GGA-PBE) for a geometry-optimized GaSnBrCl2 structure.

Calculated values
Uncorrected formation energy, meV/atom: -794
E, eV/atom: -3.274
SG: P2_1/m, No. 11
Crystal system: monoclinic

```
data_GaSnBrCl2
_space_group_name_H-M_alt 'P 1'
_space_group_IT_number 1
_cell_length_a 4.370
_cell_length_b 8.243
_cell_length_c 11.530
_cell_angle_alpha 121.41
_cell_angle_beta 90.00
_cell_angle_gamma 90.00
loop_
_space_group_symop_operation_xyz
'x,y,z'
loop_
_atom_site_label
_atom_site_type_symbol
_atom_site_fract_x
_atom_site_fract_y
_atom_site_fract_z
_atom_site_occupancy
Sn1 Sn 0.250 0.301 0.037 1
Cl1 Cl 0.250 0.407 0.854 1
Br1 Br 0.750 0.044 0.871 1
Cl2 Cl 0.250 0.498 0.376 1
Sn2 Sn 0.750 0.699 0.963 1
Cl3 Cl 0.750 0.502 0.624 1
Cl4 Cl 0.750 0.593 0.146 1
Br2 Br 0.250 0.956 0.129 1
Ga1 Ga 0.750 0.728 0.523 1
Ga2 Ga 0.250 0.272 0.477 1
```

Density functional theory data (GGA-PBE) for a geometry-optimized Ga2SnBr6Cl2 structure.

Calculated values
Uncorrected formation energy, meV/atom: -863
E, eV/atom: -3.025
SG: P-3, No. 147
Crystal system: trigonal

```
data_Ga2SnBr6Cl2
_space_group_name_H-M_alt 'P 1'
_space_group_IT_number 1
_cell_length_a 6.997
_cell_length_b 6.997
_cell_length_c 10.024
_cell_angle_alpha 90.00
_cell_angle_beta 90.00
_cell_angle_gamma 120.00
loop_
_space_group_symop_operation_xyz
'x,y,z'
loop_
_atom_site_label
_atom_site_type_symbol
_atom_site_fract_x
_atom_site_fract_y
_atom_site_fract_z
_atom_site_occupancy
Br1 Br 0.005 0.651 0.823 1
Cl1 Cl 0.667 0.333 0.475 1
Br2 Br 0.646 0.995 0.823 1
Ga1 Ga 0.333 0.667 0.738 1
Cl2 Cl 0.333 0.667 0.525 1
Sn1 Sn 0.000 0.000 0.000 1
Br3 Br 0.651 0.646 0.177 1
Br4 Br 0.995 0.349 0.177 1
Br5 Br 0.354 0.005 0.177 1
Ga2 Ga 0.667 0.333 0.262 1
Br6 Br 0.349 0.354 0.823 1
```

Density functional theory data (GGA-PBE) for a geometry-optimized GaSnBrCl4 structure.

Calculated values
Uncorrected formation energy, meV/atom: -1031
E, eV/atom: -3.329
SG: C2/m, No. 12
Crystal system: monoclinic

```
data_GaSnBrCl4
_space_group_name_H-M_alt 'P 1'
_space_group_IT_number 1
_cell_length_a 7.716
_cell_length_b 7.716
_cell_length_c 11.868
_cell_angle_alpha 58.40
_cell_angle_beta 58.40
_cell_angle_gamma 73.55
loop_
_space_group_symop_operation_xyz
'x,y,z'
loop_
_atom_site_label
_atom_site_type_symbol
_atom_site_fract_x
_atom_site_fract_y
_atom_site_fract_z
_atom_site_occupancy
Cl1 Cl 0.513 0.141 0.209 1
Cl2 Cl 0.474 0.474 0.359 1
Ga1 Ga 0.688 0.688 0.663 1
Cl3 Cl 0.859 0.487 0.791 1
Br1 Br 0.873 0.873 0.963 1
Cl4 Cl 0.526 0.526 0.641 1
Sn1 Sn 0.835 0.835 0.231 1
Cl5 Cl 0.900 0.900 0.435 1
Cl6 Cl 0.100 0.100 0.565 1
Br2 Br 0.127 0.127 0.037 1
Cl7 Cl 0.141 0.513 0.209 1
Ga2 Ga 0.312 0.312 0.337 1
Cl8 Cl 0.487 0.859 0.791 1
Sn2 Sn 0.165 0.165 0.769 1
```

Density functional theory data (GGA-PBE) for a geometry-optimized Ga2SnBr2Cl6 structure.

Calculated values
Uncorrected formation energy, meV/atom: -1014
E, eV/atom: -3.239
SG: P-3, No. 147
Crystal system: trigonal

```
data_Ga2SnBr2Cl6
_space_group_name_H-M_alt 'P 1'
_space_group_IT_number 1
_cell_length_a 6.599
_cell_length_b 6.599
_cell_length_c 11.517
_cell_angle_alpha 90.00
_cell_angle_beta 90.00
_cell_angle_gamma 120.00
loop_
_space_group_symop_operation_xyz
'x,y,z'
loop_
_atom_site_label
_atom_site_type_symbol
_atom_site_fract_x
_atom_site_fract_y
_atom_site_fract_z
_atom_site_occupancy
Cl1 Cl 0.988 0.347 0.148 1
Cl2 Cl 0.359 0.012 0.148 1
Cl3 Cl 0.347 0.359 0.852 1
Cl4 Cl 0.653 0.641 0.148 1
Ga1 Ga 0.667 0.333 0.223 1
Ga2 Ga 0.333 0.667 0.777 1
Br1 Br 0.333 0.667 0.580 1
Cl5 Cl 0.012 0.653 0.852 1
Cl6 Cl 0.641 0.988 0.852 1
Sn1 Sn 0.000 0.000 0.000 1
Br2 Br 0.667 0.333 0.420 1
```

Density functional theory data (GGA-PBE) for a geometry-optimized SrGaBr4Cl structure.

Calculated values
Uncorrected formation energy, meV/atom: -1398
E, eV/atom: -3.291
SG: C2/m, No. 12
Crystal system: monoclinic

```
data_SrGaBr4Cl
_space_group_name_H-M_alt 'P 1'
_space_group_IT_number 1
_cell_length_a 7.615
_cell_length_b 7.615
_cell_length_c 10.543
_cell_angle_alpha 77.57
_cell_angle_beta 77.57
_cell_angle_gamma 85.53
loop_
_space_group_symop_operation_xyz
'x,y,z'
loop_
_atom_site_label
_atom_site_type_symbol
_atom_site_fract_x
_atom_site_fract_y
_atom_site_fract_z
_atom_site_occupancy
Sr1 Sr 0.196 0.196 0.944 1
Br1 Br 0.853 0.499 0.882 1
Ga1 Ga 0.342 0.342 0.263 1
Br2 Br 0.147 0.501 0.118 1
Cl1 Cl 0.994 0.994 0.176 1
Br3 Br 0.811 0.811 0.538 1
Br4 Br 0.499 0.853 0.882 1
Br5 Br 0.545 0.545 0.290 1
Br6 Br 0.189 0.189 0.462 1
Ga2 Ga 0.658 0.658 0.737 1
Br7 Br 0.455 0.455 0.710 1
Br8 Br 0.501 0.147 0.118 1
Sr2 Sr 0.804 0.804 0.056 1
Cl2 Cl 0.006 0.006 0.824 1
```

Density functional theory data (GGA-PBE) for a geometry-optimized SrGaBrCl2 structure.

Calculated values
Uncorrected formation energy, meV/atom: -1657
E, eV/atom: -3.672
SG: P2_1/m, No. 11
Crystal system: monoclinic

```
data_SrGaBrCl2
_space_group_name_H-M_alt 'P 1'
_space_group_IT_number 1
_cell_length_a 4.752
_cell_length_b 8.014
_cell_length_c 10.864
_cell_angle_alpha 122.03
_cell_angle_beta 90.00
_cell_angle_gamma 90.00
loop_
_space_group_symop_operation_xyz
'x,y,z'
loop_
_atom_site_label
_atom_site_type_symbol
_atom_site_fract_x
_atom_site_fract_y
_atom_site_fract_z
_atom_site_occupancy
Ga1 Ga 0.750 0.739 0.516 1
Cl1 Cl 0.750 0.488 0.615 1
Ga2 Ga 0.250 0.261 0.484 1
Cl2 Cl 0.250 0.512 0.385 1
Sr1 Sr 0.750 0.691 0.939 1
Sr2 Sr 0.250 0.309 0.061 1
Br1 Br 0.250 0.972 0.131 1
Cl3 Cl 0.250 0.429 0.846 1
Br2 Br 0.750 0.028 0.869 1
Cl4 Cl 0.750 0.571 0.154 1
```

Density functional theory data (GGA-PBE) for a geometry-optimized GaTcBrCl2 structure.

Calculated values
Uncorrected formation energy, meV/atom: -190
E, eV/atom: -3.942
SG: P4/mmm, No. 123
Crystal system: tetragonal

```
data_GaTcBrCl2
_space_group_name_H-M_alt 'P 1'
_space_group_IT_number 1
_cell_length_a 4.915
_cell_length_b 5.314
_cell_length_c 4.915
_cell_angle_alpha 90.00
_cell_angle_beta 90.00
_cell_angle_gamma 90.00
loop_
_space_group_symop_operation_xyz
'x,y,z'
loop_
_atom_site_label
_atom_site_type_symbol
_atom_site_fract_x
_atom_site_fract_y
_atom_site_fract_z
_atom_site_occupancy
Cl1 Cl 0.500 0.000 0.000 1
Cl2 Cl 0.000 0.000 0.500 1
Tc1 Tc 0.000 0.000 0.000 1
Br1 Br 0.000 0.500 0.000 1
Ga1 Ga 0.500 0.500 0.500 1
```

Density functional theory data (GGA-PBE) for a geometry-optimized TiGa2Br4Cl2 structure.

Calculated values
Uncorrected formation energy, meV/atom: -977
E, eV/atom: -3.681
SG: C2/m, No. 12
Crystal system: monoclinic

```
data_TiGa2Br4Cl2
_space_group_name_H-M_alt 'P 1'
_space_group_IT_number 1
_cell_length_a 6.853
_cell_length_b 7.254
_cell_length_c 7.254
_cell_angle_alpha 61.33
_cell_angle_beta 69.77
_cell_angle_gamma 69.77
loop_
_space_group_symop_operation_xyz
'x,y,z'
loop_
_atom_site_label
_atom_site_type_symbol
_atom_site_fract_x
_atom_site_fract_y
_atom_site_fract_z
_atom_site_occupancy
Ga1 Ga 0.712 0.253 0.253 1
Br1 Br 0.672 0.321 0.837 1
Br2 Br 0.328 0.163 0.679 1
Br3 Br 0.328 0.679 0.163 1
Cl1 Cl 0.799 0.823 0.823 1
Cl2 Cl 0.201 0.177 0.177 1
Br4 Br 0.672 0.837 0.321 1
Ti1 Ti 0.500 0.000 0.000 1
Ga2 Ga 0.288 0.747 0.747 1
```

Density functional theory data (GGA-PBE) for a geometry-optimized TlGaBr2Cl structure.

Calculated values
Uncorrected formation energy, meV/atom: -772
E, eV/atom: -2.889
SG: P4/mmm, No. 123
Crystal system: tetragonal

```
data_TlGaBr2Cl
_space_group_name_H-M_alt 'P 1'
_space_group_IT_number 1
_cell_length_a 5.442
_cell_length_b 5.442
_cell_length_c 5.076
_cell_angle_alpha 90.00
_cell_angle_beta 90.00
_cell_angle_gamma 90.00
loop_
_space_group_symop_operation_xyz
'x,y,z'
loop_
_atom_site_label
_atom_site_type_symbol
_atom_site_fract_x
_atom_site_fract_y
_atom_site_fract_z
_atom_site_occupancy
Br1 Br 0.500 0.000 0.000 1
Cl1 Cl 0.000 0.000 0.500 1
Ga1 Ga 0.000 0.000 0.000 1
Br2 Br 0.000 0.500 0.000 1
Tl1 Tl 0.500 0.500 0.500 1
```

Density functional theory data (GGA-PBE) for a geometry-optimized TlGaBrCl2 structure.

Calculated values
Uncorrected formation energy, meV/atom: -847
E, eV/atom: -2.999
SG: P4/mmm, No. 123
Crystal system: tetragonal

```
data_TlGaBrCl2
_space_group_name_H-M_alt 'P 1'
_space_group_IT_number 1
_cell_length_a 5.114
_cell_length_b 5.114
_cell_length_c 5.454
_cell_angle_alpha 90.00
_cell_angle_beta 90.00
_cell_angle_gamma 90.00
loop_
_space_group_symop_operation_xyz
'x,y,z'
loop_
_atom_site_label
_atom_site_type_symbol
_atom_site_fract_x
_atom_site_fract_y
_atom_site_fract_z
_atom_site_occupancy
Tl1 Tl 0.500 0.500 0.500 1
Ga1 Ga 0.000 0.000 0.000 1
Cl1 Cl 0.000 0.500 0.000 1
Cl2 Cl 0.500 0.000 0.000 1
Br1 Br 0.000 0.000 0.500 1
```